Below is a relaxed structure of TbTmGeIr, with properties calculated at the PBE level.

Properties
energy relative to the lowest polymorph listed for this composition: 0.0000 eV/atom
V: 22.05 Å³/atom
energy: -26.04 eV for the cell shown
energy of formation from the pure elements: -0.86 eV per atom
SG: No. 38

The structure in POSCAR format:
```
TbTmGeIr
1.0
4.074 0.000 0.000
0.000 4.092 0.000
-2.037 0.000 5.292
Tm Tb Ir Ge
1 1 1 1
Direct
0.858 0.500 0.716
0.139 0.000 0.278
0.579 0.500 0.158
0.424 0.000 0.848
```